[1]
The following is a PBE-GGA calculation of a relaxed structure of CeNd2Th, from Alexandria via LeMat-Bulk.

Cell: 3.5871 3.5871 35.4074 Å, 90.00 90.00 120.00°
Space group R-3m (No. 166, hexagonal axes)
One atom of each set of equivalent atoms:
Ce  0.0000  0.0000  0.0000 (multiplicity 3)
Nd  0.0000  0.0000  0.2500 (multiplicity 6)
Th  0.0000  0.0000  0.5000 (multiplicity 3)

Summary:
ΔE to the lowest computed polymorph = 0.000 eV/atom
Total magnetization = 0.91 μB/f.u.
E_tot = -22.531 eV per formula unit
E_form = 0.090 eV per atom


[2]
The following is a PBE-GGA calculation of a relaxed structure of Sn2HgPd9, from Alexandria via LeMat-Bulk.

Cell: 4.049 4.049 12.104 Å, 90.00 90.00 90.00°
Space group P4/mmm (No. 123)
One atom of each set of equivalent atoms:
Sn  0.000  0.000  0.169 (multiplicity 2)
Hg  0.000  0.000  0.500 (multiplicity 1)
Pd  0.000  0.500  0.000 (multiplicity 2)
Pd  0.000  0.500  0.329 (multiplicity 4)
Pd  0.500  0.500  0.164 (multiplicity 2)
Pd  0.500  0.500  0.500 (multiplicity 1)

Summary:
Total magnetization = 0.00 μB/f.u.
E_tot = -59.499 eV per formula unit
E_form = -0.371 eV per atom


[3]
The following is a PBE-GGA calculation of a relaxed structure of Pr4NdEr3Se8, from Alexandria via LeMat-Bulk.

Cell: 8.2598 8.2598 20.9618 Å, 90.00 90.00 120.00°
Space group R-3m (No. 166, hexagonal axes)
One atom of each set of equivalent atoms:
Pr  0.0000  0.0000  0.0000 (multiplicity 3)
Pr  0.0000  0.5000  0.0000 (multiplicity 9)
Nd  0.0000  0.0000  0.5000 (multiplicity 3)
Er  0.0000  0.5000  0.5000 (multiplicity 9)
Se  0.0000  0.0000  0.2427 (multiplicity 6)
Se  0.0084  0.5042  0.7554 (multiplicity 18)

Summary:
Total magnetization = 0.00 μB/f.u.
E_tot = -94.053 eV per formula unit


Q: Which of these has the highest total magnetization?
A: CeNd2Th


Please write out number 3 again, unchanged.
The following is a PBE-GGA calculation of a relaxed structure of Pr4NdEr3Se8, from Alexandria via LeMat-Bulk.

Cell: 8.2598 8.2598 20.9618 Å, 90.00 90.00 120.00°
Space group R-3m (No. 166, hexagonal axes)
One atom of each set of equivalent atoms:
Pr  0.0000  0.0000  0.0000 (multiplicity 3)
Pr  0.0000  0.5000  0.0000 (multiplicity 9)
Nd  0.0000  0.0000  0.5000 (multiplicity 3)
Er  0.0000  0.5000  0.5000 (multiplicity 9)
Se  0.0000  0.0000  0.2427 (multiplicity 6)
Se  0.0084  0.5042  0.7554 (multiplicity 18)

Summary:
Total magnetization = 0.00 μB/f.u.
E_tot = -94.053 eV per formula unit